Entry from Alexandria: Tm4Hf3N8 after structural relaxation (PBE).

Geometry as CIF:
```
data_Tm4Hf3N8
_chemical_formula_sum 'Tm8 Hf6 N16'
_cell_length_a 9.263
_cell_length_b 9.313
_cell_length_c 6.552
_cell_angle_alpha 90.00
_cell_angle_beta 134.45
_cell_angle_gamma 90.00
_symmetry_space_group_name_H-M 'C 1 2/m 1'
_symmetry_Int_Tables_number 12
loop_
_symmetry_equiv_pos_as_xyz
'x,y,z'
'-x,-y,-z'
'-x,y,-z'
'x,-y,z'
'x+1/2,y+1/2,z'
'-x+1/2,-y+1/2,-z'
'-x+1/2,y+1/2,-z'
'x+1/2,-y+1/2,z'
loop_
_atom_site_label
_atom_site_type_symbol
_atom_site_fract_x
_atom_site_fract_y
_atom_site_fract_z
_atom_site_occupancy
Tm1 Tm 0.000 0.000 0.000 1
Tm2 Tm 0.000 0.500 0.500 1
Tm3 Tm 0.250 0.250 0.000 1
Hf1 Hf 0.000 0.500 0.000 1
Hf2 Hf 0.250 0.250 0.500 1
N1 N 0.000 0.255 0.000 1
N2 N 0.000 0.256 0.500 1
N3 N 0.230 0.500 0.981 1
N4 N 0.240 0.500 0.486 1
```

Calculated values
Total energy, eV/atom: -9.179
Energy relative to the elements, uncorrected, eV/atom: -1.56


Entry from Alexandria: CdBi2H after structural relaxation (PBE).

Geometry as CIF:
```
data_CdBi2H
_chemical_formula_sum 'Cd4 Bi8 H4'
_cell_length_a 7.683
_cell_length_b 7.683
_cell_length_c 6.447
_cell_angle_alpha 90.00
_cell_angle_beta 90.00
_cell_angle_gamma 90.00
_symmetry_space_group_name_H-M 'I -4 2 d'
_symmetry_Int_Tables_number 122
_symmetry_space_group_name_Hall 'I -4 2bw'
loop_
_atom_site_label
_atom_site_type_symbol
_atom_site_fract_x
_atom_site_fract_y
_atom_site_fract_z
_atom_site_occupancy
Cd1 Cd 0.000 0.000 0.000 1
Bi1 Bi 0.137 0.250 0.625 1
H1 H 0.000 0.000 0.500 1
```

Calculated values
Total energy, eV/atom: -2.685
Offset from the most stable computed form, eV per formula unit: 0.000